# 1
Computed, not measured: FeCu2Ni after structural relaxation at the PBE level of DFT.

Structure (POSCAR):
```
FeCu2Ni
1.0
-4.254 1.325 -0.224
-4.301 -1.146 0.303
-0.689 0.912 4.216
Ni Fe Cu
1 1 2
direct
0.250 0.250 0.250
0.750 0.750 0.750
0.502 0.502 0.499
0.998 0.998 0.001
```

Space-group type: C2/m, No. 12
Energy of formation from the pure elements (eV per atom): 0.054
Theoretical density (g cm⁻³): 8.622
Size of the total moment (μB per formula unit): 3.23

# 2
Computed, not measured: FeCuNi after structural relaxation at the PBE level of DFT.

Structure (POSCAR):
```
FeCuNi
1.0
3.877 0.000 0.000
1.939 3.358 0.000
1.939 1.119 3.166
Ni Cu Fe
1 1 1
direct
0.750 0.750 0.750
0.000 0.000 0.000
0.500 0.500 0.500
```

Space-group type: F-43m, No. 216
Energy of formation from the pure elements (eV per atom): 0.484
Theoretical density (g cm⁻³): 7.176
Size of the total moment (μB per formula unit): 3.35

# 3
Computed, not measured: FeCuNi2 after structural relaxation at the PBE level of DFT.

Structure (POSCAR):
```
FeCuNi2
1.0
-1.737 7.706 -2.778
-4.093 6.848 -2.545
-2.909 7.833 -0.553
Fe Ni Cu
1 2 1
direct
0.750 0.750 0.750
0.001 0.001 0.001
0.499 0.499 0.499
0.250 0.250 0.250
```

Space-group type: R-3m, No. 166
Energy of formation from the pure elements (eV per atom): -0.021
Theoretical density (g cm⁻³): 8.682
Size of the total moment (μB per formula unit): 3.68

# 4
Computed, not measured: FeCu3Ni after structural relaxation at the PBE level of DFT.

Structure (POSCAR):
```
FeCu3Ni
1.0
-1.358 3.770 1.634
-0.587 -1.882 3.852
4.066 0.987 1.102
Fe Cu Ni
1 3 1
direct
0.500 0.500 0.500
0.000 0.000 0.500
0.500 0.000 0.000
0.000 0.500 0.000
0.000 0.000 0.000
```

Space-group type: Pm-3m, No. 221
Energy of formation from the pure elements (eV per atom): 1.104
Theoretical density (g cm⁻³): 6.254
Size of the total moment (μB per formula unit): 3.35

# 5
Computed, not measured: FeCuNi after structural relaxation at the PBE level of DFT.

Structure (POSCAR):
```
FeCuNi
1.0
4.382 0.000 -0.016
0.000 7.632 0.000
-1.452 0.000 4.147
Cu Ni Fe
4 4 4
direct
0.500 0.206 0.000
0.500 0.375 0.500
0.500 0.706 0.500
0.500 0.875 0.000
0.000 0.380 0.000
0.000 0.546 0.500
0.000 0.046 0.000
0.000 0.880 0.500
0.000 0.712 0.000
0.500 0.537 0.000
0.500 0.037 0.500
0.000 0.212 0.500
```

Space-group type: C2, No. 5
Energy of formation from the pure elements (eV per atom): 0.051
Theoretical density (g cm⁻³): 8.540
Size of the total moment (μB per formula unit): 3.26

# 6
Computed, not measured: Fe2Cu2Ni7 after structural relaxation at the PBE level of DFT.

Structure (POSCAR):
```
Fe2Cu2Ni7
1.0
4.267 0.384 0.810
2.288 6.774 3.832
0.631 1.534 5.499
Ni Cu Fe
7 2 2
direct
0.548 0.752 0.000
0.174 0.073 0.512
0.000 0.000 0.000
0.826 0.927 0.488
0.174 0.585 0.488
0.826 0.415 0.512
0.452 0.248 0.000
0.180 0.595 0.000
0.820 0.405 0.000
0.500 0.191 0.618
0.500 0.809 0.382
```

Space-group type: C2/m, No. 12
Energy of formation from the pure elements (eV per atom): 0.133
Theoretical density (g cm⁻³): 8.341
Size of the total moment (μB per formula unit): 9.41

# 7
Computed, not measured: Fe4CuNi8 after structural relaxation at the PBE level of DFT.

Structure (POSCAR):
```
Fe4CuNi8
1.0
4.068 0.000 0.000
0.000 2.493 0.000
0.000 0.000 14.831
Fe Ni Cu
4 8 1
direct
0.000 0.000 0.049
0.500 0.500 0.418
0.000 0.500 0.628
0.500 0.000 0.880
0.000 0.000 0.487
0.000 0.500 0.189
0.500 0.500 0.090
0.500 0.500 0.728
0.500 0.000 0.240
0.000 0.000 0.772
0.000 0.500 0.914
0.500 0.000 0.576
0.000 0.000 0.332
```

Space-group type: Pmm2, No. 25
Energy of formation from the pure elements (eV per atom): 0.105
Theoretical density (g cm⁻³): 8.352
Size of the total moment (μB per formula unit): 7.89

# 8
Computed, not measured: Fe2CuNi after structural relaxation at the PBE level of DFT.

Structure (POSCAR):
```
Fe2CuNi
1.0
6.508 0.000 0.000
0.000 6.508 0.000
3.254 3.254 2.428
Fe Ni Cu
4 2 2
direct
0.375 0.390 0.750
0.875 0.860 0.750
0.140 0.625 0.250
0.610 0.125 0.250
0.500 0.500 0.000
0.250 0.750 0.500
0.000 0.000 0.000
0.750 0.250 0.500
```

Space-group type: I-42d, No. 122
Energy of formation from the pure elements (eV per atom): 0.482
Theoretical density (g cm⁻³): 7.555
Size of the total moment (μB per formula unit): 6.44

# 9
Computed, not measured: FeCuNi after structural relaxation at the PBE level of DFT.

Structure (POSCAR):
```
FeCuNi
1.0
2.526 0.000 0.000
-1.263 2.188 0.000
0.000 0.000 18.812
Fe Cu Ni
3 3 3
direct
0.333 0.667 0.108
0.667 0.333 0.775
0.000 0.000 0.441
0.667 0.333 0.556
0.333 0.667 0.889
0.000 0.000 0.222
0.000 0.000 0.667
0.667 0.333 0.001
0.333 0.667 0.334
```

Space-group type: R3m, No. 160
Energy of formation from the pure elements (eV per atom): 0.049
Theoretical density (g cm⁻³): 8.533
Size of the total moment (μB per formula unit): 3.21

# 10
Computed, not measured: Fe4Cu2Ni5 after structural relaxation at the PBE level of DFT.

Structure (POSCAR):
```
Fe4Cu2Ni5
1.0
-0.499 1.483 -1.970
3.552 -3.331 -3.455
-5.493 -8.002 1.827
Ni Fe Cu
5 4 2
direct
0.201 0.477 0.350
0.500 0.000 0.000
0.799 0.523 0.650
0.914 0.934 0.705
0.086 0.066 0.295
0.062 0.208 0.529
0.633 0.253 0.818
0.938 0.792 0.471
0.367 0.747 0.182
0.794 0.663 0.892
0.206 0.337 0.108
```

Space-group type: P-1, No. 2
Energy of formation from the pure elements (eV per atom): 0.048
Theoretical density (g cm⁻³): 8.394
Size of the total moment (μB per formula unit): 13.59

# 11
Computed, not measured: FeCuNi after structural relaxation at the PBE level of DFT.

Structure (POSCAR):
```
FeCuNi
1.0
-4.945 -0.472 -0.977
1.634 -3.068 -6.791
2.502 -3.021 1.967
Cu Fe Ni
4 4 4
direct
0.750 0.919 0.750
0.250 0.581 0.750
0.250 0.081 0.250
0.750 0.419 0.250
0.250 0.244 0.750
0.750 0.256 0.750
0.750 0.756 0.250
0.250 0.744 0.250
0.750 0.587 0.750
0.750 0.087 0.250
0.250 0.913 0.750
0.250 0.413 0.250
```

Space-group type: C2/c, No. 15
Energy of formation from the pure elements (eV per atom): 0.019
Theoretical density (g cm⁻³): 8.560
Size of the total moment (μB per formula unit): 3.32

# 12
Computed, not measured: Fe2CuNi after structural relaxation at the PBE level of DFT.

Structure (POSCAR):
```
Fe2CuNi
1.0
2.507 0.101 0.000
-0.107 2.506 0.000
0.000 0.000 7.355
Ni Fe Cu
1 2 1
direct
0.000 0.000 0.497
0.500 0.500 0.259
0.000 0.000 0.000
0.500 0.500 0.744
```

Space-group type: Cmm2, No. 35
Energy of formation from the pure elements (eV per atom): 0.040
Theoretical density (g cm⁻³): 8.391
Size of the total moment (μB per formula unit): 5.57

# 13
Computed, not measured: Fe2CuNi after structural relaxation at the PBE level of DFT.

Structure (POSCAR):
```
Fe2CuNi
1.0
8.525 0.000 0.000
8.152 2.495 0.000
8.152 1.220 2.176
Ni Fe Cu
1 2 1
direct
0.250 0.250 0.250
0.998 0.998 0.998
0.502 0.502 0.502
0.750 0.750 0.750
```

Space-group type: R-3m, No. 166
Energy of formation from the pure elements (eV per atom): 0.061
Theoretical density (g cm⁻³): 8.393
Size of the total moment (μB per formula unit): 5.68